Arrangement 1

CdGaF after structural relaxation, computed with GGA-PBE.

Lattice parameters (Å, degrees): 4.9846 3.1416 8.1122 101.16 107.89 90.00
With the nearest neighbours (Å) after each atom.
Atoms (fractional coordinates):
F  0.6919  0.1919  0.3838  1 Cd 2.16
F  0.3081  0.8081  0.6162  1 Cd 2.16
Ga  0.7476  0.5000  0.0000  2 Ga 2.47-2.52
Ga  0.2524  0.5000  0.0000  2 Ga 2.47-2.52
Cd  0.1653  0.6653  0.3307  1 F 2.16
Cd  0.8347  0.3347  0.6693  1 F 2.16

## Properties
N(E_F) (states/eV/f.u.): 0.47
Magnetization (μB/atom): 0.0000
Space group: Immm (71)

Arrangement 2

CdGaF after structural relaxation, computed with GGA-PBE.

Lattice parameters (Å, degrees): 3.0075 3.0075 7.1201 90.00 90.00 120.00
With the nearest neighbours (Å) after each atom.
Atoms (fractional coordinates):
F  0.3333  0.6667  0.6191  3 Ga 2.29
Ga  0.6667  0.3333  0.4100  3 F 2.29
Cd  0.0000  0.0000  0.9709  6 Cd 3.01, 3 F 3.05

## Properties
N(E_F) (states/eV/f.u.): 0.53
Magnetization (μB/atom): 0.0000
Space group: P3m1 (156)

Relative to the most stable structure, the computed energies are arrangement 1 11.3; arrangement 2 0.0, all in kJ/mol of atoms.

Arrangement 1

CdGeF3 after structural relaxation, computed with GGA-PBE.

Lattice parameters (Å, degrees): 4.4247 4.4247 4.4247 90.00 90.00 90.00
With the nearest neighbours (Å) after each atom.
Atoms (fractional coordinates):
Ge  0.5000  0.5000  0.5000  12 F 3.13
F  0.0000  0.5000  0.0000  2 Cd 2.21
F  0.0000  0.0000  0.5000  2 Cd 2.21
F  0.5000  0.0000  0.0000  2 Cd 2.21
Cd  0.0000  0.0000  0.0000  6 F 2.21

## Properties
N(E_F) (states/eV/f.u.): 1.83
Magnetization (μB/atom): 0.1482
Space group: Pm-3m (221)

Arrangement 2

CdGeF3 after structural relaxation, computed with GGA-PBE.

Lattice parameters (Å, degrees): 5.1823 6.9941 10.1774 90.00 79.08 90.00
With the nearest neighbours (Å) after each atom.
Atoms (fractional coordinates):
Cd  0.9109  0.6165  0.2607  3 F 2.23-2.43
Cd  0.5891  0.1165  0.2393  3 F 2.23-2.43
Cd  0.0891  0.3835  0.7393  3 F 2.23-2.43
Cd  0.4109  0.8835  0.7607  3 F 2.23-2.43
Ge  0.3558  0.6020  0.0906  2 F 1.86-1.96
Ge  0.1442  0.1020  0.4094  2 F 1.86-1.96
Ge  0.6442  0.3980  0.9094  2 F 1.86-1.96
Ge  0.8558  0.8980  0.5906  2 F 1.86-1.96
F  0.0879  0.7095  0.6248  1 Ge 1.86
F  0.4121  0.2095  0.8752  1 Ge 1.86
F  0.9121  0.2905  0.3752  1 Ge 1.86
F  0.5879  0.7905  0.1248  1 Ge 1.86
F  0.0407  0.0379  0.7379  1 Ge 2.16, 1 Cd 2.25
F  0.4593  0.5379  0.7621  1 Ge 2.16, 1 Cd 2.25
F  0.9593  0.9621  0.2621  1 Ge 2.16, 1 Cd 2.25
F  0.5407  0.4621  0.2379  1 Ge 2.16, 1 Cd 2.25
F  0.7406  0.7184  0.4659  1 Ge 1.96
F  0.7594  0.2184  0.0341  1 Ge 1.96
F  0.2594  0.2816  0.5341  1 Ge 1.96
F  0.2406  0.7816  0.9659  1 Ge 1.96

## Properties
N(E_F) (states/eV/f.u.): 0.00
Magnetization (μB/atom): 0.0000
Space group: P2_1/c (14)

Arrangement 3

CdGeF3 after structural relaxation, computed with GGA-PBE.

Lattice parameters (Å, degrees): 4.4030 4.4030 4.4030 90.00 90.00 90.00
With the nearest neighbours (Å) after each atom.
Atoms (fractional coordinates):
Ge  0.0000  0.0000  0.0000  6 F 2.20
F  0.0000  0.5000  0.0000  2 Ge 2.20
F  0.0000  0.0000  0.5000  2 Ge 2.20
F  0.5000  0.0000  0.0000  2 Ge 2.20
Cd  0.5000  0.5000  0.5000  12 F 3.11

## Properties
N(E_F) (states/eV/f.u.): 2.31
Magnetization (μB/atom): 0.1533
Space group: Pm-3m (221)

Relative to the most stable structure, the computed energies are arrangement 1 47.5; arrangement 2 0.0; arrangement 3 29.4, all in kJ/mol of atoms.

Arrangement 1

Cd2GeF after structural relaxation, computed with GGA-PBE.

Lattice parameters (Å, degrees): 5.6468 5.6468 7.4283 67.66 67.66 90.00
With the nearest neighbours (Å) after each atom.
Atoms (fractional coordinates):
Ge  0.0000  0.0000  0.0000  4 Cd 2.67
Ge  0.7500  0.2500  0.5000  4 Cd 2.67
F  0.5000  0.5000  0.0000  4 Cd 2.42
F  0.2500  0.7500  0.5000  4 Cd 2.42
Cd  0.5857  0.1250  0.2500  2 F 2.42, 2 Ge 2.67
Cd  0.1643  0.6250  0.2500  2 F 2.42, 2 Ge 2.67
Cd  0.3750  0.4143  0.7500  2 F 2.42, 2 Ge 2.67
Cd  0.8750  0.8357  0.7500  2 F 2.42, 2 Ge 2.67

## Properties
N(E_F) (states/eV/f.u.): 0.95
Magnetization (μB/atom): 0.0000
Space group: I-42d (122)

Arrangement 2

Cd2GeF after structural relaxation, computed with GGA-PBE.

Lattice parameters (Å, degrees): 4.7327 4.7327 4.7327 60.00 60.00 60.00
With the nearest neighbours (Å) after each atom.
Atoms (fractional coordinates):
Ge  0.5000  0.5000  0.5000  8 Cd 2.90
F  0.0000  0.0000  0.0000  8 Cd 2.90
Cd  0.2500  0.2500  0.2500  4 Ge 2.90, 4 F 2.90
Cd  0.7500  0.7500  0.7500  4 Ge 2.90, 4 F 2.90

## Properties
N(E_F) (states/eV/f.u.): 3.07
Magnetization (μB/atom): 0.0000
Space group: Fm-3m (225)

Relative to the most stable structure, the computed energies are arrangement 1 0.0; arrangement 2 7.5, all in kJ/mol of atoms.

Arrangement 1

CdGeF4 after structural relaxation, computed with GGA-PBE.

Lattice parameters (Å, degrees): 5.6068 8.2754 8.7681 90.00 90.00 88.91
With the nearest neighbours (Å) after each atom.
Atoms (fractional coordinates):
Cd  0.2632  0.1074  0.9371  6 F 2.21-2.43
Cd  0.2368  0.3926  0.4371  6 F 2.21-2.43
Cd  0.7632  0.6074  0.5629  6 F 2.21-2.43
Cd  0.7368  0.8926  0.0629  6 F 2.21-2.43
Ge  0.7697  0.0672  0.6298  3 F 1.88-2.02
Ge  0.7303  0.4328  0.1298  3 F 1.88-2.02
Ge  0.2697  0.5672  0.8702  3 F 1.88-2.02
Ge  0.2303  0.9328  0.3702  3 F 1.88-2.02
F  0.3840  0.1441  0.3930  1 Ge 1.97
F  0.9093  0.0134  0.8368  1 Ge 2.02
F  0.5853  0.1438  0.0779  2 Cd 2.21-2.23
F  0.4923  0.1540  0.7202  1 Ge 1.88
F  0.0077  0.3460  0.2202  1 Ge 1.88
F  0.9147  0.3562  0.5779  2 Cd 2.21-2.23
F  0.5907  0.4866  0.3368  1 Ge 2.02
F  0.8840  0.6441  0.1070  1 Ge 1.97
F  0.1160  0.3559  0.8930  1 Ge 1.97
F  0.4093  0.5134  0.6632  1 Ge 2.02
F  0.0853  0.6438  0.4221  2 Cd 2.21-2.23
F  0.9923  0.6540  0.7798  1 Ge 1.88
F  0.5077  0.8460  0.2798  1 Ge 1.88
F  0.4147  0.8562  0.9221  2 Cd 2.21-2.23
F  0.0907  0.9866  0.1632  1 Ge 2.02
F  0.6160  0.8559  0.6070  1 Ge 1.97

## Properties
N(E_F) (states/eV/f.u.): 0.00
Magnetization (μB/atom): 0.0000
Space group: P2_1/c (14)

Arrangement 2

CdGeF4 after structural relaxation, computed with GGA-PBE.

Lattice parameters (Å, degrees): 5.7233 5.7824 6.0387 90.00 90.00 90.00
With the nearest neighbours (Å) after each atom.
Atoms (fractional coordinates):
Cd  0.1055  0.9612  0.0000  6 F 2.17-2.39
Cd  0.6055  0.0388  0.5000  6 F 2.17-2.39
Ge  0.5242  0.4120  0.0000  4 F 2.00-2.12
Ge  0.0242  0.5880  0.5000  4 F 2.00-2.12
F  0.2053  0.5996  0.0000  1 Ge 2.12, 1 Cd 2.17
F  0.8017  0.1856  0.0000  1 Ge 2.06, 1 Cd 2.17
F  0.3676  0.1913  0.7914  1 Ge 2.00
F  0.8676  0.8087  0.7086  1 Ge 2.00
F  0.3017  0.8144  0.5000  1 Ge 2.06, 1 Cd 2.17
F  0.7053  0.4004  0.5000  1 Ge 2.12, 1 Cd 2.17
F  0.8676  0.8087  0.2914  1 Ge 2.00
F  0.3676  0.1913  0.2086  1 Ge 2.00

## Properties
N(E_F) (states/eV/f.u.): 0.00
Magnetization (μB/atom): 0.0000
Space group: Pmn2_1 (31)

Relative to the most stable structure, the computed energies are arrangement 1 0.0; arrangement 2 1.7, all in kJ/mol of atoms.

Arrangement 1

CdGe2F after structural relaxation, computed with GGA-PBE.

Lattice parameters (Å, degrees): 4.5751 4.5751 8.7132 74.78 74.78 90.00
With the nearest neighbours (Å) after each atom.
Atoms (fractional coordinates):
Ge  0.5187  0.1250  0.2500  2 F 2.41, 2 Ge 2.64
Ge  0.2313  0.6250  0.2500  2 F 2.41, 2 Ge 2.64
Ge  0.3750  0.4813  0.7500  2 F 2.41, 2 Ge 2.64
Ge  0.8750  0.7687  0.7500  2 F 2.41, 2 Ge 2.64
F  0.5000  0.5000  0.0000  4 Ge 2.41
F  0.2500  0.7500  0.5000  4 Ge 2.41
Cd  0.0000  0.0000  0.0000  4 Ge 2.84
Cd  0.7500  0.2500  0.5000  4 Ge 2.84

## Properties
N(E_F) (states/eV/f.u.): 0.84
Magnetization (μB/atom): 0.0000
Space group: I-42d (122)

Arrangement 2

CdGe2F after structural relaxation, computed with GGA-PBE.

Lattice parameters (Å, degrees): 4.6438 4.6438 4.6438 60.00 60.00 60.00
With the nearest neighbours (Å) after each atom.
Atoms (fractional coordinates):
Ge  0.2500  0.2500  0.2500  4 Cd 2.84, 4 F 2.84
Ge  0.7500  0.7500  0.7500  4 F 2.84, 4 Cd 2.84
F  0.0000  0.0000  0.0000  8 Ge 2.84
Cd  0.5000  0.5000  0.5000  8 Ge 2.84

## Properties
N(E_F) (states/eV/f.u.): 2.75
Magnetization (μB/atom): 0.0000
Space group: Fm-3m (225)

Relative to the most stable structure, the computed energies are arrangement 1 0.0; arrangement 2 8.9, all in kJ/mol of atoms.

Arrangement 1

CdGeN2F after structural relaxation, computed with GGA-PBE.

Lattice parameters (Å, degrees): 3.6173 6.3308 3.6173 90.00 90.00 90.00
With the nearest neighbours (Å) after each atom.
Atoms (fractional coordinates):
N  0.0000  0.0000  0.5000  2 Ge 1.81
N  0.5000  0.0000  0.0000  2 Ge 1.81
Ge  0.0000  0.0000  0.0000  4 N 1.81
F  0.5000  0.5000  0.5000  4 Cd 2.56
Cd  0.0000  0.5000  0.0000  4 F 2.56

## Properties
N(E_F) (states/eV/f.u.): 2.48
Magnetization (μB/atom): 0.0000
Space group: P4/mmm (123)

Arrangement 2

CdGeN2F after structural relaxation, computed with GGA-PBE.

Lattice parameters (Å, degrees): 4.2734 4.2734 4.3761 90.00 90.00 90.00
With the nearest neighbours (Å) after each atom.
Atoms (fractional coordinates):
N  0.0000  0.5000  0.0000  2 Cd 2.14
N  0.5000  0.0000  0.0000  2 Cd 2.14
Ge  0.5000  0.5000  0.5000  4 F 3.02, 8 N 3.06
F  0.0000  0.0000  0.5000  2 Cd 2.19
Cd  0.0000  0.0000  0.0000  4 N 2.14, 2 F 2.19

## Properties
N(E_F) (states/eV/f.u.): 2.47
Magnetization (μB/atom): 0.4810
Space group: P4/mmm (123)

Relative to the most stable structure, the computed energies are arrangement 1 0.0; arrangement 2 48.1, all in kJ/mol of atoms.

Arrangement 1

CdHF3 after structural relaxation, computed with GGA-PBE.

Lattice parameters (Å, degrees): 3.5727 3.5727 3.5727 90.00 90.00 90.00
With the nearest neighbours (Å) after each atom.
Atoms (fractional coordinates):
H  0.0000  0.0000  0.0000  6 F 1.79
F  0.0000  0.5000  0.0000  2 H 1.79
F  0.0000  0.0000  0.5000  2 H 1.79
F  0.5000  0.0000  0.0000  2 H 1.79
Cd  0.5000  0.5000  0.5000  12 F 2.53

## Properties
N(E_F) (states/eV/f.u.): 0.00
Magnetization (μB/atom): 0.0000
Space group: Pm-3m (221)

Arrangement 2

CdHF3 after structural relaxation, computed with GGA-PBE.

Lattice parameters (Å, degrees): 5.7611 6.8192 5.9414 90.00 89.61 90.00
With the nearest neighbours (Å) after each atom.
Atoms (fractional coordinates):
Cd  0.8492  0.6560  0.2926  7 F 2.25-2.46
Cd  0.6508  0.1560  0.2074  7 F 2.25-2.46
Cd  0.1508  0.3440  0.7074  7 F 2.25-2.46
Cd  0.3492  0.8440  0.7926  7 F 2.25-2.46
H  0.3415  0.5505  0.1677  1 F 1.08
H  0.1585  0.0505  0.3323  1 F 1.08
H  0.6585  0.4495  0.8323  1 F 1.08
H  0.8415  0.9495  0.6677  1 F 1.08
F  0.1194  0.6558  0.5768  3 Cd 2.25-2.30
F  0.3806  0.1558  0.9232  3 Cd 2.25-2.30
F  0.8806  0.3442  0.4232  3 Cd 2.25-2.30
F  0.6194  0.8442  0.0768  3 Cd 2.25-2.30
F  0.9820  0.0154  0.7599  1 H 1.08
F  0.5180  0.5154  0.7401  1 H 1.08
F  0.0180  0.9846  0.2401  1 H 1.08
F  0.4820  0.4846  0.2599  1 H 1.08
F  0.6789  0.8792  0.5596  1 H 1.24
F  0.8211  0.3792  0.9404  1 H 1.24
F  0.3211  0.1208  0.4404  1 H 1.24
F  0.1789  0.6208  0.0596  1 H 1.24

## Properties
N(E_F) (states/eV/f.u.): 0.00
Magnetization (μB/atom): 0.0000
Space group: P2_1/c (14)

Relative to the most stable structure, the computed energies are arrangement 1 61.9; arrangement 2 0.0, all in kJ/mol of atoms.

Arrangement 1

CdHF3 after structural relaxation, computed with GGA-PBE.

Lattice parameters (Å, degrees): 6.7809 6.4563 6.4563 104.64 82.14 82.14
With the nearest neighbours (Å) after each atom.
Atoms (fractional coordinates):
Cd  0.7500  0.2961  0.7039  6 F 2.23-2.39
Cd  0.2500  0.0649  0.9351  6 F 2.19-2.36
Cd  0.7500  0.9351  0.0649  6 F 2.19-2.36
Cd  0.2500  0.7039  0.2961  6 F 2.23-2.39
H  0.6405  0.4006  0.2764  1 F 1.04
H  0.1405  0.2764  0.4006  1 F 1.04
H  0.8595  0.7236  0.5994  1 F 1.04
H  0.3595  0.5994  0.7236  1 F 1.04
F  0.6947  0.2406  0.3602  1 H 1.31
F  0.5688  0.0765  0.8292  3 Cd 2.19-2.36
F  0.1947  0.3602  0.2406  1 H 1.31
F  0.8053  0.6398  0.7594  1 H 1.31
F  0.9058  0.7965  0.4797  1 H 1.04
F  0.0688  0.8292  0.0765  3 Cd 2.19-2.36
F  0.3053  0.7594  0.6398  1 H 1.31
F  0.9312  0.1708  0.9235  3 Cd 2.19-2.36
F  0.4312  0.9235  0.1708  3 Cd 2.19-2.36
F  0.4058  0.4797  0.7965  1 H 1.04
F  0.0942  0.2035  0.5203  1 H 1.04
F  0.5942  0.5203  0.2035  1 H 1.04

## Properties
N(E_F) (states/eV/f.u.): 0.00
Magnetization (μB/atom): 0.0000
Space group: C2/c (15)

Arrangement 2

CdHF3 after structural relaxation, computed with GGA-PBE.

Lattice parameters (Å, degrees): 4.3143 4.3143 4.3143 90.00 90.00 90.00
With the nearest neighbours (Å) after each atom.
Atoms (fractional coordinates):
H  0.5000  0.5000  0.5000  12 F 3.05
F  0.0000  0.5000  0.0000  2 Cd 2.16
F  0.0000  0.0000  0.5000  2 Cd 2.16
F  0.5000  0.0000  0.0000  2 Cd 2.16
Cd  0.0000  0.0000  0.0000  6 F 2.16

## Properties
N(E_F) (states/eV/f.u.): 4.18
Magnetization (μB/atom): 0.1203
Space group: Pm-3m (221)

Relative to the most stable structure, the computed energies are arrangement 1 0.0; arrangement 2 106.5, all in kJ/mol of atoms.